! Na2AlNiMo (PBE, relaxed); values from VASP
&SYSTEM
  ibrav = 0, nat = 5, ntyp = 4
/
ATOMIC_SPECIES
Ni 58.69 Ni.upf
Mo 95.94 Mo.upf
Al 26.98 Al.upf
Na 22.99 Na.upf
ATOMIC_POSITIONS angstrom
Ni 0.000 2.213 0.000
Mo 0.000 0.000 0.000
Al 2.845 2.213 2.845
Na 0.000 0.000 2.845
Na 2.845 0.000 0.000
CELL_PARAMETERS angstrom
5.691 0.000 0.000
0.000 4.426 0.000
0.000 0.000 5.691
! **Space-group type**: P4/mmm, No. 123
! **ΔH_f (0 K)**: 1.398 eV/atom